#i
Entry from Alexandria: crystalline MgBi2MoP at its relaxed geometry (GGA-PBE).

Computed properties:
space-group type = No. 123

Cell: 5.289 5.218 5.289 Å, 90.00 90.00 90.00°
Each line ends with the local moment (μB).
Atoms (fractional coordinates):
Mg: 0.000 0.500 0.000  -0.01
P: 0.500 0.500 0.500  0.37
Mo: 0.000 0.000 0.000  0.50
Bi: 0.000 0.000 0.500  -0.07
Bi: 0.500 0.000 0.000  -0.05

#ii
Entry from Alexandria: crystalline MgBi2MoP at its relaxed geometry (GGA-PBE).

Computed properties:
space-group type = No. 123

Cell: 5.318 5.042 5.318 Å, 90.00 90.00 90.00°
Each line ends with the local moment (μB).
Atoms (fractional coordinates):
Mg: 0.000 0.000 0.000  -0.01
P: 0.500 0.500 0.500  -0.08
Mo: 0.000 0.500 0.000  2.73
Bi: 0.000 0.000 0.500  -0.11
Bi: 0.500 0.000 0.000  -0.07

Which one is most stable, and which one is least stable? #i is the most stable of them, while #ii is the least stable.